(1)
{"formula": "MgCu2F", "functional": "PBE", "state": "relaxed", "spacegroup": "I-42d (122)", "m_tot_mub_per_fu": 0.00, "raw_formation_energy_ev_per_atom": -0.58, "lattice_angstrom": [[7.377, 0.000, 0.000], [0.000, 7.377, 0.000], [0.000, 0.000, 4.280]], "species": ["Mg", "Mg", "Mg", "Mg", "Cu", "Cu", "Cu", "Cu", "Cu", "Cu", "Cu", "Cu", "F", "F", "F", "F"], "fractional_positions": [[0.000, 0.000, 0.000], [0.000, 0.500, 0.250], [0.500, 0.000, 0.750], [0.500, 0.500, 0.500], [0.193, 0.250, 0.625], [0.250, 0.693, 0.875], [0.250, 0.807, 0.375], [0.307, 0.250, 0.125], [0.693, 0.750, 0.125], [0.750, 0.193, 0.375], [0.750, 0.307, 0.875], [0.807, 0.750, 0.625], [0.000, 0.000, 0.500], [0.000, 0.500, 0.750], [0.500, 0.000, 0.250], [0.500, 0.500, 0.000]]}


(2)
{"formula": "LiTcNi4", "functional": "PBE", "state": "relaxed", "spacegroup": "F-43m (216)", "m_tot_mub_per_fu": 4.23, "e_form_ev_per_atom": 0.1386, "lattice_angstrom": [[0.000, 3.322, 3.322], [3.322, 0.000, 3.322], [3.322, 3.322, 0.000]], "species": ["Li", "Tc", "Ni", "Ni", "Ni", "Ni"], "fractional_positions": [[0.000, 0.000, 0.000], [0.250, 0.250, 0.250], [0.124, 0.625, 0.625], [0.625, 0.124, 0.625], [0.625, 0.625, 0.124], [0.625, 0.625, 0.625]]}


(3)
{"formula": "Tl2I", "functional": "PBE", "state": "relaxed", "spacegroup": "C2/m (12)", "m_tot_mub_per_fu": 0.00, "raw_formation_energy_ev_per_atom": -0.26, "lattice_angstrom": [[6.046, 0.000, 0.000], [0.000, 6.051, 0.000], [-3.006, 0.000, 5.775]], "species": ["Tl", "Tl", "Tl", "Tl", "I", "I"], "fractional_positions": [[0.175, 0.000, 0.349], [0.325, 0.500, 0.651], [0.675, 0.500, 0.349], [0.825, 0.000, 0.651], [0.000, 0.500, 0.000], [0.500, 0.000, 0.000]]}


(4)
{"formula": "NbSiAg3", "functional": "PBE", "state": "relaxed", "spacegroup": "Pm-3m (221)", "m_tot_mub_per_fu": 2.26, "raw_formation_energy_ev_per_atom": 1.74, "lattice_angstrom": [[5.160, 0.000, 0.000], [0.000, 5.160, 0.000], [0.000, 0.000, 5.160]], "species": ["Nb", "Si", "Ag", "Ag", "Ag"], "fractional_positions": [[0.000, 0.000, 0.000], [0.500, 0.500, 0.500], [0.000, 0.000, 0.500], [0.000, 0.500, 0.000], [0.500, 0.000, 0.000]]}